# CoAs2PbO

An optimized crystal structure of CoAs2PbO (PBE+U, Alexandria via LeMat-Bulk).

Cell lengths 5.147, 5.147, 3.506 Å; angles 90.00, 90.00, 90.00 degrees
Space group P4/mmm (No. 123)
One atom of each set of equivalent atoms:
Co (0.000, 0.000, 0.000) [1 per cell]
As (0.000, 0.500, 0.000) [2 per cell]
Pb (0.500, 0.500, 0.500) [1 per cell]
O (0.000, 0.000, 0.500) [1 per cell]

=====

# Co2As2PbO7

An optimized crystal structure of Co2As2PbO7 (PBE+U, Alexandria via LeMat-Bulk).

Cell lengths 5.2348, 5.2348, 19.9029 Å; angles 90.00, 90.00, 120.00 degrees
Space group R32 (No. 155, hexagonal axes)
One atom of each set of equivalent atoms:
Co (0.0000, 0.0000, 0.1730) [6 per cell]
As (0.0000, 0.0000, 0.4142) [6 per cell]
Pb (0.0000, 0.0000, 0.0000) [3 per cell]
O (0.0000, 0.0000, 0.5000) [3 per cell]
O (0.0035, 0.3870, 0.5678) [18 per cell]

=====

# CoAs2PbO8

An optimized crystal structure of CoAs2PbO8 (PBE+U, Alexandria via LeMat-Bulk).

Cell lengths 4.8505, 4.8505, 22.9333 Å; angles 90.00, 90.00, 120.00 degrees
Space group R-3 (No. 148, hexagonal axes)
One atom of each set of equivalent atoms:
Co (0.0000, 0.0000, 0.0000) [3 per cell]
As (0.0000, 0.0000, 0.2658) [6 per cell]
Pb (0.0000, 0.0000, 0.5000) [3 per cell]
O (0.0000, 0.0000, 0.1912) [6 per cell]
O (0.0040, 0.6894, 0.0484) [18 per cell]

=====

# CoAs2PbO6

An optimized crystal structure of CoAs2PbO6 (PBE+U, Alexandria via LeMat-Bulk).

Cell lengths 11.664, 8.805, 7.215 Å; angles 90.00, 123.92, 90.00 degrees
Space group C2/c (No. 15)
One atom of each set of equivalent atoms:
Co (0.000, 0.206, 0.250) [4 per cell]
As (0.207, 0.458, 0.672) [8 per cell]
Pb (0.000, 0.200, 0.750) [4 per cell]
O (0.108, 0.292, 0.549) [8 per cell]
O (0.118, 0.095, 0.180) [8 per cell]
O (0.178, 0.437, 0.933) [8 per cell]

=====

# CoAs2PdO8

An optimized crystal structure of CoAs2PdO8 (PBE+U, Alexandria via LeMat-Bulk).

Cell lengths 5.5211, 5.5211, 5.9248 Å; angles 90.00, 90.00, 120.00 degrees
Space group P-3m1 (No. 164)
One atom of each set of equivalent atoms:
Co (0.0000, 0.0000, 0.0000) [1 per cell]
As (0.3333, 0.6667, 0.1783) [2 per cell]
Pd (0.0000, 0.0000, 0.5000) [1 per cell]
O (0.1548, 0.3096, 0.2534) [6 per cell]
O (0.3333, 0.6667, 0.8986) [2 per cell]

=====

# CoAs2PdO

An optimized crystal structure of CoAs2PdO (PBE+U, Alexandria via LeMat-Bulk).

Cell lengths 4.415, 4.415, 4.111 Å; angles 90.00, 90.00, 90.00 degrees
Space group P4/mmm (No. 123)
One atom of each set of equivalent atoms:
Co (0.000, 0.000, 0.000) [1 per cell]
As (0.000, 0.500, 0.500) [2 per cell]
Pd (0.500, 0.500, 0.000) [1 per cell]
O (0.500, 0.500, 0.500) [1 per cell]

=====

# PmCoAsO5

An optimized crystal structure of PmCoAsO5 (PBE+U, Alexandria via LeMat-Bulk).

Cell lengths 6.176, 10.470, 8.203 Å; angles 90.00, 110.41, 90.00 degrees
Space group C2/c (No. 15)
One atom of each set of equivalent atoms:
Pm (0.000, 0.000, 0.000) [4 per cell]
Co (0.000, 0.273, 0.250) [4 per cell]
As (0.000, 0.295, 0.750) [4 per cell]
O (0.000, 0.095, 0.250) [4 per cell]
O (0.148, 0.385, 0.926) [8 per cell]
O (0.172, 0.187, 0.680) [8 per cell]

=====

# Pm2CoAsO6

An optimized crystal structure of Pm2CoAsO6 (PBE+U, Alexandria via LeMat-Bulk).

Cell lengths 5.414, 5.414, 4.316 Å; angles 90.00, 90.00, 90.00 degrees
Space group P4mm (No. 99)
One atom of each set of equivalent atoms:
Pm (0.000, 0.500, 0.000) [2 per cell]
Co (0.000, 0.000, 0.603) [1 per cell]
As (0.500, 0.500, 0.571) [1 per cell]
O (0.000, 0.000, 0.115) [1 per cell]
O (0.251, 0.251, 0.657) [4 per cell]
O (0.500, 0.500, 0.149) [1 per cell]

=====

Number 1: VASP energy -22.85 eV per cell. Number 2: VASP energy -197.44 eV per cell. Number 3: VASP energy -209.70 eV per cell. Number 4: VASP energy -235.33 eV per cell. Number 5: VASP energy -67.34 eV per cell. Number 6: VASP energy -22.60 eV per cell. Number 7: VASP energy -215.31 eV per cell. Number 8: VASP energy -69.16 eV per cell.